No. 1
An optimized crystal structure of FeSi2TeBr, computed with PBE.

a = 5.4866 Å, b = 5.4866 Å, c = 4.7933 Å
α = 90.00°, β = 90.00°, γ = 90.00°
Sites, in units of the cell vectors:
Fe 0.0000 0.0000 0.0000
Si 0.0000 0.5000 0.5000
Si 0.5000 0.0000 0.5000
Te 0.0000 0.0000 0.5000
Br 0.5000 0.5000 0.0000

Summary:
**Magnetization**: 2.10 μB/cell
**ρ**: 3.7 Mg/m³
**Energy**: -3.614 eV per atom
**SG**: P4/mmm (123)
**Formation energy (no corrections)**: 1.210 eV/atom

No. 2
An optimized crystal structure of V2FeSiBr, computed with PBE.

a = 4.4390 Å, b = 4.4390 Å, c = 4.2156 Å
α = 90.00°, β = 90.00°, γ = 90.00°
Sites, in units of the cell vectors:
V 0.0000 0.5000 0.0000
V 0.5000 0.0000 0.0000
Fe 0.0000 0.0000 0.5000
Si 0.5000 0.5000 0.5000
Br 0.0000 0.0000 0.0000

Summary:
**Magnetization**: 0.01 μB/cell
**ρ**: 5.3 Mg/m³
**Energy**: -5.562 eV per atom
**SG**: P4/mmm (123)
**Formation energy (no corrections)**: 1.197 eV/atom

No. 3
An optimized crystal structure of SmFeBr, computed with PBE.

a = 11.9969 Å, b = 11.9969 Å, c = 11.9969 Å
α = 18.96°, β = 18.96°, γ = 18.96°
Sites, in units of the cell vectors:
Sm 0.0570 0.0570 0.0570
Sm 0.9430 0.9430 0.9430
Fe 0.3346 0.3346 0.3346
Fe 0.6654 0.6654 0.6654
Br 0.2209 0.2209 0.2209
Br 0.7791 0.7791 0.7791

Summary:
**Magnetization**: 2.27 μB/cell
**ρ**: 6.0 Mg/m³
**Energy**: -5.845 eV per atom
**SG**: R-3m (166)
**Formation energy (no corrections)**: -0.894 eV/atom

No. 4
An optimized crystal structure of Sm5Fe2Br2, computed with PBE.

a = 8.9664 Å, b = 8.9664 Å, c = 7.7099 Å
α = 90.00°, β = 90.00°, γ = 51.34°
Sites, in units of the cell vectors:
Sm 0.0000 0.0000 0.0000
Sm 0.0505 0.7225 0.6615
Sm 0.2225 0.5505 0.1615
Sm 0.2775 0.9495 0.6615
Sm 0.4495 0.7775 0.1615
Sm 0.5000 0.5000 0.5000
Sm 0.5505 0.2225 0.8385
Sm 0.7225 0.0505 0.3385
Sm 0.7775 0.4495 0.8385
Sm 0.9495 0.2775 0.3385
Fe 0.1162 0.8838 0.3849
Fe 0.3838 0.6162 0.8849
Fe 0.6162 0.3838 0.1151
Fe 0.8838 0.1162 0.6151
Br 0.2125 0.2125 0.0000
Br 0.2875 0.2875 0.5000
Br 0.7125 0.7125 0.5000
Br 0.7875 0.7875 0.0000

Summary:
**Magnetization**: 3.12 μB/cell
**ρ**: 7.0 Mg/m³
**Energy**: -5.309 eV per atom
**SG**: Cmce (64)
**Formation energy (no corrections)**: -0.435 eV/atom

No. 5
An optimized crystal structure of SmFe2Br8, computed with PBE.

a = 8.2215 Å, b = 8.2215 Å, c = 6.6338 Å
α = 94.12°, β = 94.12°, γ = 77.37°
Sites, in units of the cell vectors:
Sm 0.0000 0.0000 0.0000
Fe 0.1957 0.1957 0.6493
Fe 0.8043 0.8043 0.3507
Br 0.0881 0.7116 0.2368
Br 0.1878 0.1878 0.2819
Br 0.2884 0.9119 0.7632
Br 0.3672 0.3672 0.7819
Br 0.6328 0.6328 0.2181
Br 0.7116 0.0881 0.2368
Br 0.8122 0.8122 0.7181
Br 0.9119 0.2884 0.7632

Summary:
**Magnetization**: 9.00 μB/cell
**ρ**: 3.4 Mg/m³
**Energy**: -4.136 eV per atom
**SG**: C2/m (12)
**Formation energy (no corrections)**: -0.952 eV/atom

No. 6
An optimized crystal structure of FeSn2Br, computed with PBE.

a = 7.9877 Å, b = 7.9877 Å, c = 7.9877 Å
α = 134.18°, β = 134.18°, γ = 66.81°
Sites, in units of the cell vectors:
Fe 0.0000 0.0000 0.0000
Fe 0.7500 0.2500 0.5000
Sn 0.0300 0.6250 0.9050
Sn 0.3750 0.2800 0.4050
Sn 0.7200 0.1250 0.0950
Sn 0.8750 0.9700 0.5950
Br 0.2500 0.7500 0.5000
Br 0.5000 0.5000 0.0000

Summary:
**Magnetization**: 3.05 μB/cell
**ρ**: 4.8 Mg/m³
**Energy**: -4.184 eV per atom
**ΔE to the lowest computed polymorph**: 0.00 eV/f.u.
**SG**: I-42d (122)
**Formation energy (no corrections)**: 0.352 eV/atom

No. 7
An optimized crystal structure of Fe2SnBr, computed with PBE.

a = 4.6122 Å, b = 4.6122 Å, c = 4.6122 Å
α = 60.00°, β = 60.00°, γ = 60.00°
Sites, in units of the cell vectors:
Fe 0.2500 0.2500 0.2500
Fe 0.7500 0.7500 0.7500
Sn 0.0000 0.0000 0.0000
Br 0.5000 0.5000 0.5000

Summary:
**Magnetization**: 4.50 μB/cell
**ρ**: 7.4 Mg/m³
**Energy**: -4.958 eV per atom
**ΔE to the lowest computed polymorph**: 0.14 eV/f.u.
**SG**: Fm-3m (225)
**Formation energy (no corrections)**: 0.693 eV/atom

No. 8
An optimized crystal structure of FeSn2Br, computed with PBE.

a = 5.0884 Å, b = 5.0884 Å, c = 5.0884 Å
α = 60.00°, β = 60.00°, γ = 60.00°
Sites, in units of the cell vectors:
Fe 0.0000 0.0000 0.0000
Sn 0.2500 0.2500 0.2500
Sn 0.7500 0.7500 0.7500
Br 0.5000 0.5000 0.5000

Summary:
**Magnetization**: 2.79 μB/cell
**ρ**: 6.7 Mg/m³
**Energy**: -4.004 eV per atom
**ΔE to the lowest computed polymorph**: 0.72 eV/f.u.
**SG**: Fm-3m (225)
**Formation energy (no corrections)**: 0.531 eV/atom

No. 9
An optimized crystal structure of Fe2SnBr6, computed with PBE.

a = 9.3387 Å, b = 9.3387 Å, c = 7.1884 Å
α = 98.60°, β = 98.60°, γ = 85.29°
Sites, in units of the cell vectors:
Fe 0.1151 0.2742 0.3052
Fe 0.2742 0.1151 0.8052
Fe 0.7258 0.8849 0.1948
Fe 0.8849 0.7258 0.6948
Sn 0.3829 0.6171 0.7500
Sn 0.6171 0.3829 0.2500
Br 0.0640 0.2127 0.6058
Br 0.1073 0.6392 0.8781
Br 0.2127 0.0640 0.1058
Br 0.2876 0.4648 0.3551
Br 0.3608 0.8927 0.6219
Br 0.4648 0.2876 0.8551
Br 0.5352 0.7124 0.1449
Br 0.6392 0.1073 0.3781
Br 0.7124 0.5352 0.6449
Br 0.7873 0.9360 0.8942
Br 0.8927 0.3608 0.1219
Br 0.9360 0.7873 0.3942

Summary:
**Magnetization**: 16.00 μB/cell
**ρ**: 3.9 Mg/m³
**Energy**: -3.936 eV per atom
**SG**: C2/c (15)
**Formation energy (no corrections)**: -0.495 eV/atom

No. 10
An optimized crystal structure of Fe2SnBr, computed with PBE.

a = 6.0204 Å, b = 6.0204 Å, c = 6.0204 Å
α = 111.81°, β = 111.81°, γ = 104.88°
Sites, in units of the cell vectors:
Fe 0.1022 0.6250 0.9772
Fe 0.3750 0.3522 0.4772
Fe 0.6478 0.1250 0.0228
Fe 0.8750 0.8978 0.5228
Sn 0.2500 0.7500 0.5000
Sn 0.5000 0.5000 0.0000
Br 0.0000 0.0000 0.0000
Br 0.7500 0.2500 0.5000

Summary:
**Magnetization**: 11.25 μB/cell
**ρ**: 6.2 Mg/m³
**Energy**: -4.992 eV per atom
**ΔE to the lowest computed polymorph**: 0.00 eV/f.u.
**SG**: I-42d (122)
**Formation energy (no corrections)**: 0.658 eV/atom

No. 11
An optimized crystal structure of Fe3SnBr, computed with PBE.

a = 4.8072 Å, b = 4.8072 Å, c = 4.8072 Å
α = 90.00°, β = 90.00°, γ = 90.00°
Sites, in units of the cell vectors:
Fe 0.0000 0.0000 0.5000
Fe 0.0000 0.5000 0.0000
Fe 0.5000 0.0000 0.0000
Sn 0.0000 0.0000 0.0000
Br 0.5000 0.5000 0.5000

Summary:
**Magnetization**: 0.96 μB/cell
**ρ**: 5.5 Mg/m³
**Energy**: -4.319 eV per atom
**ΔE to the lowest computed polymorph**: 4.29 eV/f.u.
**SG**: Pm-3m (221)
**Formation energy (no corrections)**: 1.894 eV/atom

No. 12
An optimized crystal structure of Fe3SnBr9, computed with PBE.

a = 10.6294 Å, b = 10.6294 Å, c = 13.7218 Å
α = 125.59°, β = 125.59°, γ = 53.71°
Sites, in units of the cell vectors:
Fe 0.0834 0.9166 0.5000
Fe 0.1035 0.3232 0.8408
Fe 0.3232 0.1035 0.3408
Fe 0.5415 0.7135 0.4606
Fe 0.7135 0.5415 0.9606
Fe 0.9166 0.0834 0.0000
Sn 0.1322 0.5867 0.6718
Sn 0.5867 0.1322 0.1718
Br 0.0518 0.6939 0.4745
Br 0.1360 0.2736 0.4546
Br 0.1850 0.9278 0.1325
Br 0.2644 0.4088 0.8392
Br 0.2736 0.1360 0.9546
Br 0.3779 0.8754 0.5993
Br 0.4088 0.2644 0.3392
Br 0.4538 0.5217 0.2514
Br 0.5217 0.4538 0.7514
Br 0.5765 0.9130 0.4500
Br 0.5795 0.8123 0.0960
Br 0.6939 0.0518 0.9745
Br 0.8123 0.5795 0.5960
Br 0.8754 0.3779 0.0993
Br 0.9130 0.5765 0.9500
Br 0.9278 0.1850 0.6325
Br 0.9402 0.9664 0.8003
Br 0.9664 0.9402 0.3003

Summary:
**Magnetization**: 26.00 μB/cell
**ρ**: 3.5 Mg/m³
**Energy**: -3.916 eV per atom
**SG**: Cc (9)
**Formation energy (no corrections)**: -0.497 eV/atom